# 1
Here is an optimized crystal structure of CaAl3S from the Alexandria database. Energies are from GGA-PBE.

Structure (CIF):
```
data_CaAl3S
_chemical_formula_sum 'Ca1 Al3 S1'
_space_group_name_H-M_alt 'P 1'
_space_group_IT_number 1
_cell_length_a 5.6523
_cell_length_b 5.6523
_cell_length_c 5.6523
_cell_angle_alpha 90.00
_cell_angle_beta 90.00
_cell_angle_gamma 90.00
loop_
_space_group_symop_operation_xyz
'x,y,z'
loop_
_atom_site_label
_atom_site_fract_x
_atom_site_fract_y
_atom_site_fract_z
Ca1 0.0000 0.0000 0.0000
Al1 0.0000 0.0000 0.5000
Al2 0.0000 0.5000 0.0000
Al3 0.5000 0.0000 0.0000
S1 0.5000 0.5000 0.5000
```

space group: Pm-3m, No. 221
E above lowest polymorph: 5.81 eV/f.u.
uncorrected formation energy: 1.319 eV per atom

# 2
Here is an optimized crystal structure of K2Zr2AgSe6 from the Alexandria database. Energies are from GGA-PBE.

Structure (CIF):
```
data_K2Zr2AgSe6
_chemical_formula_sum 'K2 Zr2 Ag1 Se6'
_space_group_name_H-M_alt 'P 1'
_space_group_IT_number 1
_cell_length_a 6.8824
_cell_length_b 6.8824
_cell_length_c 8.1903
_cell_angle_alpha 97.28
_cell_angle_beta 97.28
_cell_angle_gamma 121.20
loop_
_space_group_symop_operation_xyz
'x,y,z'
loop_
_atom_site_label
_atom_site_fract_x
_atom_site_fract_y
_atom_site_fract_z
K1 0.1587 0.8413 0.0000
K2 0.8413 0.1587 0.0000
Zr1 0.3313 0.6687 0.5000
Zr2 0.6687 0.3313 0.5000
Ag1 0.0000 0.0000 0.5000
Se1 0.0650 0.4177 0.6999
Se2 0.2807 0.2807 0.3088
Se3 0.4177 0.0650 0.6999
Se4 0.5823 0.9350 0.3001
Se5 0.7193 0.7193 0.6912
Se6 0.9350 0.5823 0.3001
```

space group: C2/m, No. 12
uncorrected formation energy: -1.074 eV per atom

# 3
Here is an optimized crystal structure of SnSb2MoI from the Alexandria database. Energies are from GGA-PBE.

Structure (CIF):
```
data_SnSb2MoI
_chemical_formula_sum 'Sn1 Sb2 Mo1 I1'
_space_group_name_H-M_alt 'P 1'
_space_group_IT_number 1
_cell_length_a 5.6758
_cell_length_b 5.6758
_cell_length_c 5.8390
_cell_angle_alpha 90.00
_cell_angle_beta 90.00
_cell_angle_gamma 90.00
loop_
_space_group_symop_operation_xyz
'x,y,z'
loop_
_atom_site_label
_atom_site_fract_x
_atom_site_fract_y
_atom_site_fract_z
Sn1 0.0000 0.0000 0.0000
Sb1 0.0000 0.5000 0.0000
Sb2 0.5000 0.0000 0.0000
Mo1 0.5000 0.5000 0.5000
I1 0.0000 0.0000 0.5000
```

space group: P4/mmm, No. 123
E above lowest polymorph: 3.95 eV/f.u.
uncorrected formation energy: 1.342 eV per atom

# 4
Here is an optimized crystal structure of NaCaV from the Alexandria database. Energies are from GGA-PBE.

Structure (CIF):
```
data_NaCaV
_chemical_formula_sum 'Na2 Ca2 V2'
_space_group_name_H-M_alt 'P 1'
_space_group_IT_number 1
_cell_length_a 3.3584
_cell_length_b 3.3586
_cell_length_c 14.4332
_cell_angle_alpha 89.80
_cell_angle_beta 89.96
_cell_angle_gamma 90.00
loop_
_space_group_symop_operation_xyz
'x,y,z'
loop_
_atom_site_label
_atom_site_fract_x
_atom_site_fract_y
_atom_site_fract_z
Na1 0.2484 0.2429 0.3962
Na2 0.7516 0.7571 0.6038
Ca1 0.2508 0.2542 0.8164
Ca2 0.7492 0.7458 0.1836
V1 0.2499 0.2493 0.0304
V2 0.7501 0.7507 0.9696
```

space group: P-1, No. 2
energy of formation from the pure elements: 274.3 meV/atom
E above lowest polymorph: 0.00 eV/f.u.

# 5
Here is an optimized crystal structure of Pm3Ag3PtO8 from the Alexandria database. Energies are from GGA-PBE.

Structure (CIF):
```
data_Pm3Ag3PtO8
_chemical_formula_sum 'Pm3 Ag3 Pt1 O8'
_space_group_name_H-M_alt 'P 1'
_space_group_IT_number 1
_cell_length_a 6.9356
_cell_length_b 6.9356
_cell_length_c 6.9470
_cell_angle_alpha 119.25
_cell_angle_beta 119.25
_cell_angle_gamma 60.83
loop_
_space_group_symop_operation_xyz
'x,y,z'
loop_
_atom_site_label
_atom_site_fract_x
_atom_site_fract_y
_atom_site_fract_z
Pm1 0.0000 0.0000 0.0000
Pm2 0.0000 0.5000 0.5000
Pm3 0.5000 0.0000 0.5000
Ag1 0.0000 0.5000 0.0000
Ag2 0.5000 0.0000 0.0000
Ag3 0.5000 0.5000 0.5000
Pt1 0.5000 0.5000 0.0000
O1 0.2302 0.2302 0.2705
O2 0.2716 0.7123 0.7885
O3 0.2878 0.2878 0.7707
O4 0.2877 0.7284 0.2115
O5 0.7123 0.2716 0.7885
O6 0.7122 0.7122 0.2293
O7 0.7284 0.2877 0.2115
O8 0.7698 0.7698 0.7295
```

space group: C2/m, No. 12
uncorrected formation energy: -1.668 eV per atom

# 6
Here is an optimized crystal structure of SrSbAs from the Alexandria database. Energies are from GGA-PBE.

Structure (CIF):
```
data_SrSbAs
_chemical_formula_sum 'Sr1 Sb1 As1'
_space_group_name_H-M_alt 'P 1'
_space_group_IT_number 1
_cell_length_a 5.1521
_cell_length_b 5.1521
_cell_length_c 5.1521
_cell_angle_alpha 60.00
_cell_angle_beta 60.00
_cell_angle_gamma 60.00
loop_
_space_group_symop_operation_xyz
'x,y,z'
loop_
_atom_site_label
_atom_site_fract_x
_atom_site_fract_y
_atom_site_fract_z
Sr1 0.0000 0.0000 0.0000
Sb1 0.5000 0.5000 0.5000
As1 0.7500 0.7500 0.7500
```

space group: F-43m, No. 216
E above lowest polymorph: 1.00 eV/f.u.
uncorrected formation energy: -0.404 eV per atom

# 7
Here is an optimized crystal structure of Zr6NiCl15 from the Alexandria database. Energies are from GGA-PBE.

Structure (CIF):
```
data_Zr6NiCl15
_chemical_formula_sum 'Zr6 Ni1 Cl15'
_space_group_name_H-M_alt 'P 1'
_space_group_IT_number 1
_cell_length_a 9.0031
_cell_length_b 9.0031
_cell_length_c 9.0031
_cell_angle_alpha 109.47
_cell_angle_beta 109.47
_cell_angle_gamma 109.47
loop_
_space_group_symop_operation_xyz
'x,y,z'
loop_
_atom_site_label
_atom_site_fract_x
_atom_site_fract_y
_atom_site_fract_z
Zr1 0.0000 0.2411 0.2411
Zr2 0.0000 0.7589 0.7589
Zr3 0.2411 0.0000 0.2411
Zr4 0.2411 0.2411 0.0000
Zr5 0.7589 0.0000 0.7589
Zr6 0.7589 0.7589 0.0000
Ni1 0.0000 0.0000 0.0000
Cl1 0.0000 0.2458 0.7542
Cl2 0.0000 0.5000 0.5000
Cl3 0.0000 0.7542 0.2458
Cl4 0.2458 0.0000 0.7542
Cl5 0.2458 0.2458 0.4916
Cl6 0.2458 0.4916 0.2458
Cl7 0.2458 0.7542 0.0000
Cl8 0.4916 0.2458 0.2458
Cl9 0.5000 0.0000 0.5000
Cl10 0.5000 0.5000 0.0000
Cl11 0.5084 0.7542 0.7542
Cl12 0.7542 0.0000 0.2458
Cl13 0.7542 0.2458 0.0000
Cl14 0.7542 0.5084 0.7542
Cl15 0.7542 0.7542 0.5084
```

space group: Im-3m, No. 229
uncorrected formation energy: -1.642 eV per atom

# 8
Here is an optimized crystal structure of TlVAgBr6 from the Alexandria database. Energies are from GGA-PBE.

Structure (CIF):
```
data_TlVAgBr6
_chemical_formula_sum 'Tl1 V1 Ag1 Br6'
_space_group_name_H-M_alt 'P 1'
_space_group_IT_number 1
_cell_length_a 7.1121
_cell_length_b 7.1121
_cell_length_c 6.8498
_cell_angle_alpha 90.00
_cell_angle_beta 90.00
_cell_angle_gamma 120.00
loop_
_space_group_symop_operation_xyz
'x,y,z'
loop_
_atom_site_label
_atom_site_fract_x
_atom_site_fract_y
_atom_site_fract_z
Tl1 0.0000 0.0000 0.0000
V1 0.6667 0.3333 0.5000
Ag1 0.3333 0.6667 0.5000
Br1 0.3912 0.0363 0.7130
Br2 0.3912 0.3549 0.2870
Br3 0.6451 0.0363 0.2870
Br4 0.6451 0.6088 0.7130
Br5 0.9637 0.3549 0.7130
Br6 0.9637 0.6088 0.2870
```

space group: P312, No. 149
uncorrected formation energy: -0.656 eV per atom

# 9
Here is an optimized crystal structure of NaCeCu10 from the Alexandria database. Energies are from GGA-PBE.

Structure (CIF):
```
data_NaCeCu10
_chemical_formula_sum 'Na1 Ce1 Cu10'
_space_group_name_H-M_alt 'P 1'
_space_group_IT_number 1
_cell_length_a 4.0813
_cell_length_b 5.0909
_cell_length_c 8.7146
_cell_angle_alpha 90.00
_cell_angle_beta 90.00
_cell_angle_gamma 90.00
loop_
_space_group_symop_operation_xyz
'x,y,z'
loop_
_atom_site_label
_atom_site_fract_x
_atom_site_fract_y
_atom_site_fract_z
Na1 0.0000 0.0000 0.0000
Ce1 0.0000 0.5000 0.5000
Cu1 0.0000 0.0000 0.3255
Cu2 0.0000 0.0000 0.6745
Cu3 0.0000 0.5000 0.1610
Cu4 0.0000 0.5000 0.8390
Cu5 0.5000 0.0000 0.5000
Cu6 0.5000 0.2537 0.2516
Cu7 0.5000 0.2537 0.7484
Cu8 0.5000 0.5000 0.0000
Cu9 0.5000 0.7463 0.2516
Cu10 0.5000 0.7463 0.7484
```

space group: Pmmm, No. 47
energy of formation from the pure elements: -18.2 meV/atom

# 10
Here is an optimized crystal structure of ThZn2AgAu5 from the Alexandria database. Energies are from GGA-PBE.

Structure (CIF):
```
data_ThZn2AgAu5
_chemical_formula_sum 'Th1 Zn2 Ag1 Au5'
_space_group_name_H-M_alt 'P 1'
_space_group_IT_number 1
_cell_length_a 4.8851
_cell_length_b 4.8851
_cell_length_c 7.7301
_cell_angle_alpha 90.00
_cell_angle_beta 90.00
_cell_angle_gamma 90.00
loop_
_space_group_symop_operation_xyz
'x,y,z'
loop_
_atom_site_label
_atom_site_fract_x
_atom_site_fract_y
_atom_site_fract_z
Th1 0.0000 0.0000 0.0000
Zn1 0.5000 0.5000 0.3463
Zn2 0.5000 0.5000 0.6537
Ag1 0.0000 0.0000 0.5000
Au1 0.0000 0.5000 0.2512
Au2 0.0000 0.5000 0.7488
Au3 0.5000 0.0000 0.2512
Au4 0.5000 0.0000 0.7488
Au5 0.5000 0.5000 0.0000
```

space group: P4/mmm, No. 123
energy of formation from the pure elements: -211.4 meV/atom

# 11
Here is an optimized crystal structure of Mg3Co4 from the Alexandria database. Energies are from GGA-PBE.

Structure (CIF):
```
data_Mg3Co4
_chemical_formula_sum 'Mg3 Co4'
_space_group_name_H-M_alt 'P 1'
_space_group_IT_number 1
_cell_length_a 12.1987
_cell_length_b 12.1987
_cell_length_c 12.1987
_cell_angle_alpha 166.32
_cell_angle_beta 166.32
_cell_angle_gamma 19.39
loop_
_space_group_symop_operation_xyz
'x,y,z'
loop_
_atom_site_label
_atom_site_fract_x
_atom_site_fract_y
_atom_site_fract_z
Mg1 0.0000 0.0000 0.0000
Mg2 0.3029 0.3029 0.0000
Mg3 0.6971 0.6971 0.0000
Co1 0.1236 0.1236 0.0000
Co2 0.4265 0.4265 0.0000
Co3 0.5735 0.5735 0.0000
Co4 0.8764 0.8764 0.0000
```

space group: I4/mmm, No. 139
energy of formation from the pure elements: 73.1 meV/atom
E above lowest polymorph: 0.00 eV/f.u.

# 12
Here is an optimized crystal structure of BaAuO2F from the Alexandria database. Energies are from GGA-PBE.

Structure (CIF):
```
data_BaAuO2F
_chemical_formula_sum 'Ba1 Au1 O2 F1'
_space_group_name_H-M_alt 'P 1'
_space_group_IT_number 1
_cell_length_a 4.1309
_cell_length_b 4.1309
_cell_length_c 4.7815
_cell_angle_alpha 90.00
_cell_angle_beta 90.00
_cell_angle_gamma 90.00
loop_
_space_group_symop_operation_xyz
'x,y,z'
loop_
_atom_site_label
_atom_site_fract_x
_atom_site_fract_y
_atom_site_fract_z
Ba1 0.0000 0.0000 0.0000
Au1 0.5000 0.5000 0.5000
O1 0.0000 0.5000 0.5000
O2 0.5000 0.0000 0.5000
F1 0.5000 0.5000 0.0000
```

space group: P4/mmm, No. 123
uncorrected formation energy: -1.431 eV per atom

# 13
Here is an optimized crystal structure of BaBe2Pb from the Alexandria database. Energies are from GGA-PBE.

Structure (CIF):
```
data_BaBe2Pb
_chemical_formula_sum 'Ba2 Be4 Pb2'
_space_group_name_H-M_alt 'P 1'
_space_group_IT_number 1
_cell_length_a 9.2907
_cell_length_b 9.2907
_cell_length_c 9.2907
_cell_angle_alpha 148.53
_cell_angle_beta 148.53
_cell_angle_gamma 45.11
loop_
_space_group_symop_operation_xyz
'x,y,z'
loop_
_atom_site_label
_atom_site_fract_x
_atom_site_fract_y
_atom_site_fract_z
Ba1 0.3750 0.6250 0.7500
Ba2 0.6250 0.3750 0.2500
Be1 0.0000 0.0000 0.0000
Be2 0.0000 0.0000 0.5000
Be3 0.0000 0.5000 0.0000
Be4 0.5000 0.0000 0.5000
Pb1 0.1250 0.8750 0.2500
Pb2 0.8750 0.1250 0.7500
```

space group: I4_1/amd, No. 141
energy of formation from the pure elements: 337.8 meV/atom

# 14
Here is an optimized crystal structure of DyHf2Os from the Alexandria database. Energies are from GGA-PBE.

Structure (CIF):
```
data_DyHf2Os
_chemical_formula_sum 'Dy1 Hf2 Os1'
_space_group_name_H-M_alt 'P 1'
_space_group_IT_number 1
_cell_length_a 3.2703
_cell_length_b 3.2703
_cell_length_c 8.1136
_cell_angle_alpha 90.00
_cell_angle_beta 90.00
_cell_angle_gamma 90.00
loop_
_space_group_symop_operation_xyz
'x,y,z'
loop_
_atom_site_label
_atom_site_fract_x
_atom_site_fract_y
_atom_site_fract_z
Dy1 0.0000 0.0000 0.0000
Hf1 0.5000 0.5000 0.3045
Hf2 0.5000 0.5000 0.6955
Os1 0.0000 0.0000 0.5000
```

space group: P4/mmm, No. 123
energy of formation from the pure elements: -174.4 meV/atom

# 15
Here is an optimized crystal structure of Cr2ReSb from the Alexandria database. Energies are from GGA-PBE.

Structure (CIF):
```
data_Cr2ReSb
_chemical_formula_sum 'Cr2 Re1 Sb1'
_space_group_name_H-M_alt 'P 1'
_space_group_IT_number 1
_cell_length_a 8.3645
_cell_length_b 8.3645
_cell_length_c 8.3645
_cell_angle_alpha 20.24
_cell_angle_beta 20.24
_cell_angle_gamma 20.24
loop_
_space_group_symop_operation_xyz
'x,y,z'
loop_
_atom_site_label
_atom_site_fract_x
_atom_site_fract_y
_atom_site_fract_z
Cr1 0.0000 0.0000 0.0000
Cr2 0.2653 0.2653 0.2653
Re1 0.7463 0.7463 0.7463
Sb1 0.5086 0.5086 0.5086
```

space group: R3m, No. 160
uncorrected formation energy: 0.564 eV per atom

# 16
Here is an optimized crystal structure of Sc2NbRe2 from the Alexandria database. Energies are from GGA-PBE.

Structure (CIF):
```
data_Sc2NbRe2
_chemical_formula_sum 'Sc4 Nb2 Re4'
_space_group_name_H-M_alt 'P 1'
_space_group_IT_number 1
_cell_length_a 8.1954
_cell_length_b 8.1954
_cell_length_c 2.7240
_cell_angle_alpha 90.00
_cell_angle_beta 90.00
_cell_angle_gamma 90.00
loop_
_space_group_symop_operation_xyz
'x,y,z'
loop_
_atom_site_label
_atom_site_fract_x
_atom_site_fract_y
_atom_site_fract_z
Sc1 0.1253 0.3747 0.0000
Sc2 0.3747 0.8747 0.0000
Sc3 0.6253 0.1253 0.0000
Sc4 0.8747 0.6253 0.0000
Nb1 0.0000 0.0000 0.0000
Nb2 0.5000 0.5000 0.0000
Re1 0.1781 0.6781 0.5000
Re2 0.3219 0.1781 0.5000
Re3 0.6781 0.8219 0.5000
Re4 0.8219 0.3219 0.5000
```

space group: P4/mbm, No. 127
energy of formation from the pure elements: 447.2 meV/atom
E above lowest polymorph: 1.96 eV/f.u.

VASP energy across the listed records, respectively: -0.1582; -0.3666; -0.2634; -0.2846; -0.4583; -0.2858; -0.4039; -0.2473; -0.2966; -0.2540; -0.3433; -0.3549; -0.2156; -0.6695; -0.6167; -0.6673 Ry/atom.